# 1
# PrTh2MnN5 (GGA-PBE, optimized geometry)
# Fermi-level density of states: 0.1614 states/eV per atom
# Total magnetization: 8.73 μB/cell
# E_form (uncorrected): -117.8 kJ/mol of atoms
# V: 520.40 Å³ per cell
data_PrTh2MnN5
_space_group_name_H-M_alt 'I 4/m c m'
_space_group_IT_number 140
_space_group_name_Hall '-I 4 2c'
_cell_length_a 6.777
_cell_length_b 6.777
_cell_length_c 11.331
_cell_angle_alpha 90.00
_cell_angle_beta 90.00
_cell_angle_gamma 90.00
loop_
_atom_site_label
_atom_site_type_symbol
_atom_site_fract_x
_atom_site_fract_y
_atom_site_fract_z
Pr1 Pr 0.000 0.000 0.250
Th1 Th 0.176 0.324 0.000
Mn1 Mn 0.000 0.500 0.250
N1 N 0.000 0.000 0.000
N2 N 0.141 0.359 0.356

# 2
# NpH6Ru2 (GGA-PBE, optimized geometry)
# Fermi-level density of states: 0.7938 states/eV per atom
# Electronic total energy: -5.730 eV per atom
# Total magnetization: 6.24 μB/cell
# V: 156.68 Å³ per cell
data_NpH6Ru2
_space_group_name_H-M_alt 'C 1 2/m 1'
_space_group_IT_number 12
_cell_length_a 5.782
_cell_length_b 6.048
_cell_length_c 4.705
_cell_angle_alpha 90.00
_cell_angle_beta 107.77
_cell_angle_gamma 90.00
loop_
_space_group_symop_operation_xyz
'x,y,z'
'-x,-y,-z'
'-x,y,-z'
'x,-y,z'
'x+1/2,y+1/2,z'
'-x+1/2,-y+1/2,-z'
'-x+1/2,y+1/2,-z'
'x+1/2,-y+1/2,z'
loop_
_atom_site_label
_atom_site_type_symbol
_atom_site_fract_x
_atom_site_fract_y
_atom_site_fract_z
Np1 Np 0.000 0.000 0.000
H1 H 0.089 0.500 0.717
H2 H 0.203 0.308 0.263
Ru1 Ru 0.000 0.250 0.500

# 3
# AcNdSm2 (GGA-PBE, optimized geometry)
# Fermi-level density of states: 1.7239 states/eV per atom
# Total magnetization: 0.00 μB/cell
# Energy of formation: 34.7 meV/atom
# V: 147.24 Å³ per cell
data_AcNdSm2
_space_group_name_H-M_alt 'P 4/m m m'
_space_group_IT_number 123
_space_group_name_Hall '-P 4 2'
_cell_length_a 3.760
_cell_length_b 3.760
_cell_length_c 10.415
_cell_angle_alpha 90.00
_cell_angle_beta 90.00
_cell_angle_gamma 90.00
loop_
_atom_site_label
_atom_site_type_symbol
_atom_site_fract_x
_atom_site_fract_y
_atom_site_fract_z
Ac1 Ac 0.000 0.000 0.000
Nd1 Nd 0.000 0.000 0.500
Sm1 Sm 0.500 0.500 0.261

# 4
# Ba3AsSe4 (GGA-PBE, optimized geometry)
# Fermi-level density of states: 0.0175 states/eV per atom
# Total magnetization: 2.03 μB/cell
# E_form (uncorrected): -139.6 kJ/mol of atoms
# V: 603.29 Å³ per cell
data_Ba3AsSe4
_space_group_name_H-M_alt 'P m n 21'
_space_group_IT_number 31
_cell_length_a 14.015
_cell_length_b 6.568
_cell_length_c 6.554
_cell_angle_alpha 90.00
_cell_angle_beta 90.00
_cell_angle_gamma 90.00
loop_
_space_group_symop_operation_xyz
'x,y,z'
'-x+1/2,-y,z+1/2'
'-x,y,z'
'x+1/2,-y,z+1/2'
loop_
_atom_site_label
_atom_site_type_symbol
_atom_site_fract_x
_atom_site_fract_y
_atom_site_fract_z
Ba1 Ba 0.000 0.230 0.000
Ba2 Ba 0.250 0.259 0.511
As1 As 0.000 0.671 0.434
Se1 Se 0.000 0.306 0.492
Se2 Se 0.000 0.722 0.067
Se3 Se 0.229 0.240 0.010

# 5
# Tm2HPb (GGA-PBE, optimized geometry)
# Fermi-level density of states: 0.7699 states/eV per atom
# Electronic total energy: -4.413 eV per atom
# Total magnetization: 0.63 μB/cell
# V: 268.96 Å³ per cell
data_Tm2HPb
_space_group_name_H-M_alt 'R 3 m'
_space_group_IT_number 160
_space_group_name_Hall 'R 3 -2"'
_cell_length_a 3.5927
_cell_length_b 3.5927
_cell_length_c 24.0493
_cell_angle_alpha 90.00
_cell_angle_beta 90.00
_cell_angle_gamma 120.00
loop_
_atom_site_label
_atom_site_type_symbol
_atom_site_fract_x
_atom_site_fract_y
_atom_site_fract_z
Tm1 Tm 0.0000 0.0000 0.0000
Tm2 Tm 0.0000 0.0000 0.2191
H1 H 0.0000 0.0000 0.3084
Pb1 Pb 0.0000 0.0000 0.4428

# 6
# MnP2Pd7 (GGA-PBE, optimized geometry)
# Fermi-level density of states: 0.3099 states/eV per atom
# Total magnetization: 9.15 μB/cell
# Energy of formation: -420.8 meV/atom
# V: 307.58 Å³ per cell
data_MnP2Pd7
_space_group_name_H-M_alt 'I 4/m m m'
_space_group_IT_number 139
_space_group_name_Hall '-I 4 2'
_cell_length_a 3.967
_cell_length_b 3.967
_cell_length_c 19.541
_cell_angle_alpha 90.00
_cell_angle_beta 90.00
_cell_angle_gamma 90.00
loop_
_atom_site_label
_atom_site_type_symbol
_atom_site_fract_x
_atom_site_fract_y
_atom_site_fract_z
Mn1 Mn 0.000 0.000 0.000
P1 P 0.000 0.000 0.329
Pd1 Pd 0.000 0.000 0.500
Pd2 Pd 0.000 0.500 0.103
Pd3 Pd 0.000 0.500 0.250

# 7
# HfTlZn2Pd (GGA-PBE, optimized geometry)
# Fermi-level density of states: 0.8276 states/eV per atom
# Total magnetization: 0.00 μB/cell
# Energy of formation: 931.0 meV/atom
# V: 117.77 Å³ per cell
data_HfTlZn2Pd
_space_group_name_H-M_alt 'P 4/m m m'
_space_group_IT_number 123
_space_group_name_Hall '-P 4 2'
_cell_length_a 4.840
_cell_length_b 4.840
_cell_length_c 5.027
_cell_angle_alpha 90.00
_cell_angle_beta 90.00
_cell_angle_gamma 90.00
loop_
_atom_site_label
_atom_site_type_symbol
_atom_site_fract_x
_atom_site_fract_y
_atom_site_fract_z
Hf1 Hf 0.000 0.000 0.000
Tl1 Tl 0.500 0.500 0.500
Zn1 Zn 0.000 0.500 0.500
Pd1 Pd 0.500 0.500 0.000

# 8
# BaHf (GGA-PBE, optimized geometry)
# Fermi-level density of states: 1.4651 states/eV per atom
# Total magnetization: 0.93 μB/cell
# Energy of formation: 747.2 meV/atom
# V: 586.18 Å³ per cell
data_BaHf
_space_group_name_H-M_alt 'I 4/m'
_space_group_IT_number 87
_space_group_name_Hall '-I 4'
_cell_length_a 13.112
_cell_length_b 13.112
_cell_length_c 3.409
_cell_angle_alpha 90.00
_cell_angle_beta 90.00
_cell_angle_gamma 90.00
loop_
_atom_site_label
_atom_site_type_symbol
_atom_site_fract_x
_atom_site_fract_y
_atom_site_fract_z
Ba1 Ba 0.112 0.313 0.000
Hf1 Hf 0.067 0.863 0.500

# 9
# GaCo3Sb (GGA-PBE, optimized geometry)
# Fermi-level density of states: 1.0764 states/eV per atom
# Total magnetization: 4.89 μB/cell
# E_form (uncorrected): 108.4 kJ/mol of atoms
# V: 104.08 Å³ per cell
data_GaCo3Sb
_space_group_name_H-M_alt 'P m -3 m'
_space_group_IT_number 221
_space_group_name_Hall '-P 4 2 3'
_cell_length_a 4.704
_cell_length_b 4.704
_cell_length_c 4.704
_cell_angle_alpha 90.00
_cell_angle_beta 90.00
_cell_angle_gamma 90.00
loop_
_atom_site_label
_atom_site_type_symbol
_atom_site_fract_x
_atom_site_fract_y
_atom_site_fract_z
Ga1 Ga 0.000 0.000 0.000
Co1 Co 0.000 0.500 0.500
Sb1 Sb 0.500 0.500 0.500

# 10
# BeSi2Ir2 (GGA-PBE, optimized geometry)
# Fermi-level density of states: 0.2687 states/eV per atom
# Total magnetization: 0.00 μB/cell
# E_form (uncorrected): -14.9 kJ/mol of atoms
# V: 137.10 Å³ per cell
data_BeSi2Ir2
_space_group_name_H-M_alt 'P 4/m b m'
_space_group_IT_number 127
_space_group_name_Hall '-P 4 2ab'
_cell_length_a 7.064
_cell_length_b 7.064
_cell_length_c 2.748
_cell_angle_alpha 90.00
_cell_angle_beta 90.00
_cell_angle_gamma 90.00
loop_
_atom_site_label
_atom_site_type_symbol
_atom_site_fract_x
_atom_site_fract_y
_atom_site_fract_z
Be1 Be 0.000 0.000 0.000
Si1 Si 0.147 0.353 0.000
Ir1 Ir 0.151 0.651 0.500

# 11
# Ce5GaPt2 (GGA-PBE, optimized geometry)
# Fermi-level density of states: 2.3893 states/eV per atom
# Total magnetization: 7.62 μB/cell
# Energy of formation: -629.0 meV/atom
# V: 784.86 Å³ per cell
data_Ce5GaPt2
_space_group_name_H-M_alt 'C m c m'
_space_group_IT_number 63
_space_group_name_Hall '-C 2c 2'
_cell_length_a 4.584
_cell_length_b 10.646
_cell_length_c 16.081
_cell_angle_alpha 90.00
_cell_angle_beta 90.00
_cell_angle_gamma 90.00
loop_
_atom_site_label
_atom_site_type_symbol
_atom_site_fract_x
_atom_site_fract_y
_atom_site_fract_z
Ce1 Ce 0.000 0.074 0.074
Ce2 Ce 0.000 0.290 0.750
Ce3 Ce 0.000 0.413 0.110
Ga1 Ga 0.000 0.002 0.250
Pt1 Pt 0.000 0.256 0.568

# 12
# Ce2AuC (GGA-PBE, optimized geometry)
# Fermi-level density of states: 1.8215 states/eV per atom
# Total magnetization: 3.69 μB/cell
# Energy of formation: -342.4 meV/atom
# V: 259.22 Å³ per cell
data_Ce2AuC
_space_group_name_H-M_alt 'R -3 m'
_space_group_IT_number 166
_space_group_name_Hall '-R 3 2"'
_cell_length_a 3.6168
_cell_length_b 3.6168
_cell_length_c 22.8797
_cell_angle_alpha 90.00
_cell_angle_beta 90.00
_cell_angle_gamma 120.00
loop_
_atom_site_label
_atom_site_type_symbol
_atom_site_fract_x
_atom_site_fract_y
_atom_site_fract_z
Ce1 Ce 0.0000 0.0000 0.2293
Au1 Au 0.0000 0.0000 0.0000
C1 C 0.0000 0.0000 0.5000

# 13
# LaScCo2 (GGA-PBE, optimized geometry)
# Fermi-level density of states: 0.4999 states/eV per atom
# Total magnetization: 0.81 μB/cell
# Energy of formation: -61.5 meV/atom
# V: 73.33 Å³ per cell
data_LaScCo2
_space_group_name_H-M_alt 'P 4/m m m'
_space_group_IT_number 123
_space_group_name_Hall '-P 4 2'
_cell_length_a 4.708
_cell_length_b 4.708
_cell_length_c 3.308
_cell_angle_alpha 90.00
_cell_angle_beta 90.00
_cell_angle_gamma 90.00
loop_
_atom_site_label
_atom_site_type_symbol
_atom_site_fract_x
_atom_site_fract_y
_atom_site_fract_z
La1 La 0.000 0.000 0.000
Sc1 Sc 0.500 0.500 0.000
Co1 Co 0.000 0.500 0.500

# 14
# Th2PdRh (GGA-PBE, optimized geometry)
# Fermi-level density of states: 1.1256 states/eV per atom
# Total magnetization: 0.00 μB/cell
# Energy of formation: -680.0 meV/atom
# V: 93.23 Å³ per cell
data_Th2PdRh
_space_group_name_H-M_alt 'P 4/m m m'
_space_group_IT_number 123
_space_group_name_Hall '-P 4 2'
_cell_length_a 3.583
_cell_length_b 3.583
_cell_length_c 7.260
_cell_angle_alpha 90.00
_cell_angle_beta 90.00
_cell_angle_gamma 90.00
loop_
_atom_site_label
_atom_site_type_symbol
_atom_site_fract_x
_atom_site_fract_y
_atom_site_fract_z
Th1 Th 0.000 0.000 0.240
Pd1 Pd 0.500 0.500 0.500
Rh1 Rh 0.500 0.500 0.000

# 15
# HfV3N (GGA-PBE, optimized geometry)
# Fermi-level density of states: 1.5249 states/eV per atom
# Total magnetization: 4.54 μB/cell
# E_form (uncorrected): 263.4 kJ/mol of atoms
# V: 104.64 Å³ per cell
data_HfV3N
_space_group_name_H-M_alt 'P m -3 m'
_space_group_IT_number 221
_space_group_name_Hall '-P 4 2 3'
_cell_length_a 4.712
_cell_length_b 4.712
_cell_length_c 4.712
_cell_angle_alpha 90.00
_cell_angle_beta 90.00
_cell_angle_gamma 90.00
loop_
_atom_site_label
_atom_site_type_symbol
_atom_site_fract_x
_atom_site_fract_y
_atom_site_fract_z
Hf1 Hf 0.000 0.000 0.000
V1 V 0.000 0.000 0.500
N1 N 0.500 0.500 0.500

# 16
# ZrAs2Se (GGA-PBE, optimized geometry)
# Fermi-level density of states: 0.6400 states/eV per atom
# Total magnetization: 0.00 μB/cell
# E_form (uncorrected): -43.1 kJ/mol of atoms
# V: 165.93 Å³ per cell
data_ZrAs2Se
_space_group_name_H-M_alt 'C 1 2/m 1'
_space_group_IT_number 12
_cell_length_a 10.306
_cell_length_b 3.485
_cell_length_c 4.637
_cell_angle_alpha 90.00
_cell_angle_beta 94.85
_cell_angle_gamma 90.00
loop_
_space_group_symop_operation_xyz
'x,y,z'
'-x,-y,-z'
'-x,y,-z'
'x,-y,z'
'x+1/2,y+1/2,z'
'-x+1/2,-y+1/2,-z'
'-x+1/2,y+1/2,-z'
'x+1/2,-y+1/2,z'
loop_
_atom_site_label
_atom_site_type_symbol
_atom_site_fract_x
_atom_site_fract_y
_atom_site_fract_z
Zr1 Zr 0.000 0.000 0.000
As1 As 0.223 0.500 0.190
Se1 Se 0.000 0.500 0.500

# 17
# K2LiGeI5 (GGA-PBE, optimized geometry)
# Fermi-level density of states: 0.0000 states/eV per atom
# Total magnetization: 0.00 μB/cell
# E_form (uncorrected): -98.8 kJ/mol of atoms
# V: 1433.82 Å³ per cell
data_K2LiGeI5
_space_group_name_H-M_alt 'C m c 21'
_space_group_IT_number 36
_cell_length_a 4.579
_cell_length_b 20.688
_cell_length_c 15.136
_cell_angle_alpha 90.00
_cell_angle_beta 90.00
_cell_angle_gamma 90.00
loop_
_space_group_symop_operation_xyz
'x,y,z'
'-x,-y,z+1/2'
'-x,y,z'
'x,-y,z+1/2'
'x+1/2,y+1/2,z'
'-x+1/2,-y+1/2,z+1/2'
'-x+1/2,y+1/2,z'
'x+1/2,-y+1/2,z+1/2'
loop_
_atom_site_label
_atom_site_type_symbol
_atom_site_fract_x
_atom_site_fract_y
_atom_site_fract_z
K1 K 0.000 0.093 0.000
K2 K 0.000 0.124 0.638
Li1 Li 0.000 0.430 0.783
Ge1 Ge 0.000 0.220 0.364
I1 I 0.000 0.067 0.386
I2 I 0.000 0.270 0.002
I3 I 0.000 0.297 0.731
I4 I 0.000 0.358 0.332
I5 I 0.000 0.494 0.626

# 18
# PmNdTmIn (GGA-PBE, optimized geometry)
# Fermi-level density of states: 1.4836 states/eV per atom
# Total magnetization: 0.00 μB/cell
# Energy of formation: -225.7 meV/atom
# V: 236.97 Å³ per cell
data_PmNdTmIn
_space_group_name_H-M_alt 'I -4 m 2'
_space_group_IT_number 119
_space_group_name_Hall 'I -4 -2'
_cell_length_a 4.847
_cell_length_b 4.847
_cell_length_c 10.087
_cell_angle_alpha 90.00
_cell_angle_beta 90.00
_cell_angle_gamma 90.00
loop_
_atom_site_label
_atom_site_type_symbol
_atom_site_fract_x
_atom_site_fract_y
_atom_site_fract_z
Pm1 Pm 0.000 0.000 0.000
Nd1 Nd 0.000 0.500 0.250
Tm1 Tm 0.000 0.000 0.500
In1 In 0.000 0.500 0.750

# 19
# CoSbTe2 (GGA-PBE, optimized geometry)
# Fermi-level density of states: 0.4889 states/eV per atom
# Total magnetization: 0.00 μB/cell
# E_form (uncorrected): 2.9 kJ/mol of atoms
# V: 224.79 Å³ per cell
data_CoSbTe2
_space_group_name_H-M_alt 'C 1 m 1'
_space_group_IT_number 8
_cell_length_a 9.113
_cell_length_b 3.710
_cell_length_c 7.160
_cell_angle_alpha 90.00
_cell_angle_beta 111.79
_cell_angle_gamma 90.00
loop_
_space_group_symop_operation_xyz
'x,y,z'
'x,-y,z'
'x+1/2,y+1/2,z'
'x+1/2,-y+1/2,z'
loop_
_atom_site_label
_atom_site_type_symbol
_atom_site_fract_x
_atom_site_fract_y
_atom_site_fract_z
Co1 Co 0.000 0.000 0.000
Sb1 Sb 0.284 0.000 0.999
Te1 Te 0.098 0.500 0.283
Te2 Te 0.435 0.000 0.717

# 20
# La4Pm3Pr2 (GGA-PBE, optimized geometry)
# Fermi-level density of states: 1.9334 states/eV per atom
# Total magnetization: 0.00 μB/cell
# Energy of formation: 59.2 meV/atom
# V: 327.54 Å³ per cell
data_La4Pm3Pr2
_space_group_name_H-M_alt 'P 3 m 1'
_space_group_IT_number 156
_cell_length_a 3.6907
_cell_length_b 3.6907
_cell_length_c 27.7662
_cell_angle_alpha 90.00
_cell_angle_beta 90.00
_cell_angle_gamma 120.00
loop_
_space_group_symop_operation_xyz
'x,y,z'
'-y,x-y,z'
'-x+y,-x,z'
'-y,-x,z'
'-x+y,y,z'
'x,x-y,z'
loop_
_atom_site_label
_atom_site_type_symbol
_atom_site_fract_x
_atom_site_fract_y
_atom_site_fract_z
La1 La 0.0000 0.0000 0.0000
La2 La 0.0000 0.0000 0.2167
La3 La 0.3333 0.6667 0.3291
La4 La 0.3333 0.6667 0.5468
Pm1 Pm 0.0000 0.0000 0.4377
Pm2 Pm 0.3333 0.6667 0.1062
Pm3 Pm 0.3333 0.6667 0.7680
Pr1 Pr 0.0000 0.0000 0.6580
Pr2 Pr 0.0000 0.0000 0.8728